# 1
# PBE-GGA TaZnSi2, optimized geometry
# VASP energy = -23.705 eV for the cell shown
data_TaZnSi2
_chemical_formula_sum 'Ta1 Zn1 Si2'
_symmetry_space_group_name_H-M 'P 4/m m m'
_symmetry_Int_Tables_number 123
_symmetry_space_group_name_Hall '-P 4 2'
_cell_length_a 4.706
_cell_length_b 4.706
_cell_length_c 2.782
_cell_angle_alpha 90.00
_cell_angle_beta 90.00
_cell_angle_gamma 90.00
loop_
_atom_site_label
_atom_site_fract_x
_atom_site_fract_y
_atom_site_fract_z
_atom_site_occupancy
Ta1 0.000 0.000 0.000 1
Zn1 0.500 0.500 0.000 1
Si1 0.000 0.500 0.500 1

# 2
# PBE-GGA Ta2ZnSi, optimized geometry
# VASP energy = -30.544 eV for the cell shown
data_Ta2ZnSi
_chemical_formula_sum 'Ta2 Zn1 Si1'
_symmetry_space_group_name_H-M 'P 4 m m'
_symmetry_Int_Tables_number 99
_cell_length_a 3.471
_cell_length_b 3.471
_cell_length_c 5.503
_cell_angle_alpha 90.00
_cell_angle_beta 90.00
_cell_angle_gamma 90.00
loop_
_symmetry_equiv_pos_as_xyz
'x,y,z'
'-y,x,z'
'-x,-y,z'
'y,-x,z'
'-x,y,z'
'y,x,z'
'x,-y,z'
'-y,-x,z'
loop_
_atom_site_label
_atom_site_fract_x
_atom_site_fract_y
_atom_site_fract_z
_atom_site_occupancy
Ta1 0.000 0.000 0.000 1
Ta2 0.500 0.500 0.245 1
Zn1 0.000 0.000 0.505 1
Si1 0.500 0.500 0.748 1

# 3
# PBE-GGA Ta2ZnSi, optimized geometry
# VASP energy = -30.868 eV for the cell shown
data_Ta2ZnSi
_chemical_formula_sum 'Ta2 Zn1 Si1'
_symmetry_space_group_name_H-M 'P 1 2/m 1'
_symmetry_Int_Tables_number 10
_cell_length_a 2.860
_cell_length_b 3.931
_cell_length_c 5.729
_cell_angle_alpha 90.00
_cell_angle_beta 98.17
_cell_angle_gamma 90.00
loop_
_symmetry_equiv_pos_as_xyz
'x,y,z'
'-x,-y,-z'
'-x,y,-z'
'x,-y,z'
loop_
_atom_site_label
_atom_site_fract_x
_atom_site_fract_y
_atom_site_fract_z
_atom_site_occupancy
Ta1 0.049 0.000 0.259 1
Zn1 0.500 0.500 0.000 1
Si1 0.500 0.500 0.500 1

| no. | size of the total moment (μB/f.u.) | Fermi-level density of states (states/eV per cell) |
| --- | --- | --- |
| 1 | 0.0 | 1.829 |
| 2 | 0.0 | 1.659 |
| 3 | 0.0 | 1.568 |